The following is a DFT calculation (PBE+U) of NaPa2VO8 after structural relaxation.

POSCAR file:
```
NaPa2VO8
1.0
-3.5544 -1.9226 2.6892
0.9190 -4.3677 -1.9059
4.5937 -1.2898 5.1584
Na Pa V O
1 2 1 8
direct
0.0000 0.0000 0.5000 Na
0.4996 0.4996 0.7508 Pa
0.5004 0.5004 0.2492 Pa
0.0000 0.0000 0.0000 V
0.1882 0.8104 0.1950 O
0.7077 0.7081 0.9996 O
0.8108 0.1886 0.1950 O
0.8118 0.1896 0.8050 O
0.2923 0.2919 0.0004 O
0.1892 0.8114 0.8050 O
0.6805 0.6811 0.5003 O
0.3195 0.3189 0.4997 O
```

Computed properties:
N(E_F) in states/eV/cell: 0.00
VASP energy in eV per atom: -8.397
Total magnetization in μB/atom: 0.00